[1]
# ZnGa2Te2Se2, relaxed, DFT PBE-GGA
data_ZnGa2Te2Se2
_cell_length_a 8.157
_cell_length_b 11.440
_cell_length_c 5.849
_cell_angle_alpha 90.00
_cell_angle_beta 133.87
_cell_angle_gamma 90.00
_space_group_name_H-M_alt 'C 1 2 1'
_space_group_IT_number 5
loop_
_space_group_symop_operation_xyz
'x,y,z'
'-x,y,-z'
'x+1/2,y+1/2,z'
'-x+1/2,y+1/2,-z'
loop_
_atom_site_label
_atom_site_fract_x
_atom_site_fract_y
_atom_site_fract_z
Zn1 0.000 0.000 0.000
Ga1 0.000 0.499 0.000
Ga2 0.000 0.735 0.500
Te1 0.225 0.358 0.499
Se1 0.250 0.126 0.992
# raw total energy = -3.440 eV per atom

***

[2]
# ZrTlGaSe3, relaxed, DFT PBE-GGA
data_ZrTlGaSe3
_cell_length_a 3.865
_cell_length_b 15.942
_cell_length_c 11.047
_cell_angle_alpha 90.00
_cell_angle_beta 90.00
_cell_angle_gamma 90.00
_space_group_name_H-M_alt 'C m c m'
_space_group_IT_number 63
_space_group_name_Hall '-C 2c 2'
loop_
_atom_site_label
_atom_site_fract_x
_atom_site_fract_y
_atom_site_fract_z
Zr1 0.000 0.000 0.000
Tl1 0.000 0.280 0.250
Ga1 0.000 0.375 0.750
Se1 0.000 0.014 0.250
Se2 0.000 0.382 0.009
# raw total energy = -4.864 eV per atom